# MgGaHg (PBE-GGA, relaxed)
# ΔE to the lowest computed polymorph ... 0.028 eV/atom
# Total DFT energy (no corrections) ... -20.7 eV for the cell shown
# Fermi-level density of states ... 6.08 states/eV/cell
# Formation enthalpy at 0 K ... -0.0833 eV per atom
data_MgGaHg
_chemical_formula_sum 'Mg4 Ga4 Hg4'
_symmetry_space_group_name_H-M 'F -4 3 m'
_symmetry_Int_Tables_number 216
_symmetry_space_group_name_Hall 'F -4 2 3'
_cell_length_a 6.506
_cell_length_b 6.506
_cell_length_c 6.506
_cell_angle_alpha 90.00
_cell_angle_beta 90.00
_cell_angle_gamma 90.00
loop_
_atom_site_label
_atom_site_fract_x
_atom_site_fract_y
_atom_site_fract_z
Mg1 0.000 0.000 0.000
Ga1 0.000 0.000 0.500
Hg1 0.250 0.250 0.250

# LiS2ClF (PBE-GGA, relaxed)
# ΔE to the lowest computed polymorph ... 0.346 eV/atom
# Total DFT energy (no corrections) ... -12.2 eV for the cell shown
# Fermi-level density of states ... 3.83 states/eV/cell
# ΔE_f (raw) ... 344 meV/atom
data_LiS2ClF
_chemical_formula_sum 'Li1 S2 Cl1 F1'
_symmetry_space_group_name_H-M 'P 4/m m m'
_symmetry_Int_Tables_number 123
_symmetry_space_group_name_Hall '-P 4 2'
_cell_length_a 4.466
_cell_length_b 4.466
_cell_length_c 4.436
_cell_angle_alpha 90.00
_cell_angle_beta 90.00
_cell_angle_gamma 90.00
loop_
_atom_site_label
_atom_site_fract_x
_atom_site_fract_y
_atom_site_fract_z
Li1 0.000 0.000 0.000
S1 0.000 0.500 0.000
Cl1 0.000 0.000 0.500
F1 0.500 0.500 0.500

# Tm5Co2Pb (PBE-GGA, relaxed)
# Total DFT energy (no corrections) ... -171.1 eV for the cell shown
# Fermi-level density of states ... 34.88 states/eV/cell
# Formation enthalpy at 0 K ... -0.3130 eV per atom
data_Tm5Co2Pb
_chemical_formula_sum 'Tm20 Co8 Pb4'
_symmetry_space_group_name_H-M 'I 4/m c m'
_symmetry_Int_Tables_number 140
_symmetry_space_group_name_Hall '-I 4 2c'
_cell_length_a 7.271
_cell_length_b 7.271
_cell_length_c 14.680
_cell_angle_alpha 90.00
_cell_angle_beta 90.00
_cell_angle_gamma 90.00
loop_
_atom_site_label
_atom_site_fract_x
_atom_site_fract_y
_atom_site_fract_z
Tm1 0.000 0.000 0.000
Tm2 0.172 0.328 0.127
Co1 0.120 0.380 0.500
Pb1 0.000 0.000 0.250

# Sn2Sb2Pb2Au (PBE-GGA, relaxed)
# Total DFT energy (no corrections) ... -26.9 eV for the cell shown
# Fermi-level density of states ... 4.60 states/eV/cell
# ΔE_f (raw) ... 12 meV/atom
data_Sn2Sb2Pb2Au
_chemical_formula_sum 'Sn2 Sb2 Pb2 Au1'
_symmetry_space_group_name_H-M 'P -1'
_symmetry_Int_Tables_number 2
_symmetry_space_group_name_Hall '-P 1'
_cell_length_a 3.922
_cell_length_b 6.917
_cell_length_c 8.240
_cell_angle_alpha 109.84
_cell_angle_beta 90.03
_cell_angle_gamma 106.39
loop_
_atom_site_label
_atom_site_fract_x
_atom_site_fract_y
_atom_site_fract_z
Sn1 0.220 0.436 0.120
Sb1 0.188 0.375 0.573
Pb1 0.493 0.982 0.272
Au1 0.000 0.000 0.000

# Ge2BiAsO8 (PBE-GGA, relaxed)
# Total DFT energy (no corrections) ... -71.6 eV for the cell shown
# Fermi-level density of states ... 0.00 states/eV/cell
# ΔE_f (raw) ... -1184 meV/atom
data_Ge2BiAsO8
_chemical_formula_sum 'Ge2 Bi1 As1 O8'
_symmetry_space_group_name_H-M 'P -3 m 1'
_symmetry_Int_Tables_number 164
_symmetry_space_group_name_Hall '-P 3 2"'
_cell_length_a 5.3774
_cell_length_b 5.3774
_cell_length_c 6.5704
_cell_angle_alpha 90.00
_cell_angle_beta 90.00
_cell_angle_gamma 120.00
loop_
_atom_site_label
_atom_site_fract_x
_atom_site_fract_y
_atom_site_fract_z
Ge1 0.3333 0.6667 0.2416
Bi1 0.0000 0.0000 0.0000
As1 0.0000 0.0000 0.5000
O1 0.1513 0.3027 0.3203
O2 0.3333 0.6667 0.9808

# HoSn2 (PBE-GGA, relaxed)
# Total DFT energy (no corrections) ... -28.6 eV for the cell shown
# Fermi-level density of states ... 3.06 states/eV/cell
# Formation enthalpy at 0 K ... -0.5783 eV per atom
data_HoSn2
_chemical_formula_sum 'Ho2 Sn4'
_symmetry_space_group_name_H-M 'P 1 21/m 1'
_symmetry_Int_Tables_number 11
_symmetry_space_group_name_Hall '-P 2yb'
_cell_length_a 4.419
_cell_length_b 4.342
_cell_length_c 8.457
_cell_angle_alpha 90.00
_cell_angle_beta 105.08
_cell_angle_gamma 90.00
loop_
_atom_site_label
_atom_site_fract_x
_atom_site_fract_y
_atom_site_fract_z
Ho1 0.099 0.250 0.198
Sn1 0.252 0.750 0.503
Sn2 0.436 0.250 0.873

# LiTb2PmSe4 (PBE-GGA, relaxed)
# Total DFT energy (no corrections) ... -43.9 eV for the cell shown
# Fermi-level density of states ... 2.66 states/eV/cell
# ΔE_f (raw) ... -1759 meV/atom
data_LiTb2PmSe4
_chemical_formula_sum 'Li1 Tb2 Pm1 Se4'
_symmetry_space_group_name_H-M 'P 1 2/m 1'
_symmetry_Int_Tables_number 10
_symmetry_space_group_name_Hall '-P 2y'
_cell_length_a 7.112
_cell_length_b 4.090
_cell_length_c 7.113
_cell_angle_alpha 90.00
_cell_angle_beta 109.28
_cell_angle_gamma 90.00
loop_
_atom_site_label
_atom_site_fract_x
_atom_site_fract_y
_atom_site_fract_z
Li1 0.000 0.000 0.000
Tb1 0.500 0.000 0.500
Tb2 0.500 0.500 0.000
Pm1 0.000 0.500 0.500
Se1 0.248 0.500 0.242
Se2 0.251 0.000 0.760

# MnCu3Pd (PBE-GGA, relaxed)
# ΔE to the lowest computed polymorph ... 0.988 eV/atom
# Total DFT energy (no corrections) ... -21.8 eV for the cell shown
# Fermi-level density of states ... 2.16 states/eV/cell
# Formation enthalpy at 0 K ... 0.9772 eV per atom
data_MnCu3Pd
_chemical_formula_sum 'Mn1 Cu3 Pd1'
_symmetry_space_group_name_H-M 'P m -3 m'
_symmetry_Int_Tables_number 221
_symmetry_space_group_name_Hall '-P 4 2 3'
_cell_length_a 4.631
_cell_length_b 4.631
_cell_length_c 4.631
_cell_angle_alpha 90.00
_cell_angle_beta 90.00
_cell_angle_gamma 90.00
loop_
_atom_site_label
_atom_site_fract_x
_atom_site_fract_y
_atom_site_fract_z
Mn1 0.000 0.000 0.000
Cu1 0.000 0.500 0.500
Pd1 0.500 0.500 0.500

# Si2RuAu (PBE-GGA, relaxed)
# ΔE to the lowest computed polymorph ... 0.364 eV/atom
# Total DFT energy (no corrections) ... -45.5 eV for the cell shown
# Fermi-level density of states ... 6.87 states/eV/cell
# ΔE_f (raw) ... 162 meV/atom
data_Si2RuAu
_chemical_formula_sum 'Si4 Ru2 Au2'
_symmetry_space_group_name_H-M 'C m m m'
_symmetry_Int_Tables_number 65
_symmetry_space_group_name_Hall '-C 2 2'
_cell_length_a 2.933
_cell_length_b 5.042
_cell_length_c 8.460
_cell_angle_alpha 90.00
_cell_angle_beta 90.00
_cell_angle_gamma 90.00
loop_
_atom_site_label
_atom_site_fract_x
_atom_site_fract_y
_atom_site_fract_z
Si1 0.000 0.000 0.224
Ru1 0.000 0.500 0.000
Au1 0.000 0.500 0.500

# La5Ho12Th2 (PBE-GGA, relaxed)
# Total DFT energy (no corrections) ... -184.9 eV for the cell shown
# Fermi-level density of states ... 49.74 states/eV/cell
# Formation enthalpy at 0 K ... 0.1039 eV per atom
data_La5Ho12Th2
_chemical_formula_sum 'La10 Ho24 Th4'
_symmetry_space_group_name_H-M 'C 1 2/m 1'
_symmetry_Int_Tables_number 12
_symmetry_space_group_name_Hall '-C 2y'
_cell_length_a 12.367
_cell_length_b 7.144
_cell_length_c 15.026
_cell_angle_alpha 90.00
_cell_angle_beta 108.12
_cell_angle_gamma 90.00
loop_
_atom_site_label
_atom_site_fract_x
_atom_site_fract_y
_atom_site_fract_z
La1 0.000 0.000 0.000
La2 0.098 0.500 0.099
La3 0.249 0.000 0.501
Ho1 0.084 0.246 0.291
Ho2 0.155 0.500 0.692
Ho3 0.156 0.000 0.694
Ho4 0.171 0.261 0.891
Th1 0.000 0.251 0.500

# Cr3PBr (PBE-GGA, relaxed)
# ΔE to the lowest computed polymorph ... 0.000 eV/atom
# Total DFT energy (no corrections) ... -31.2 eV for the cell shown
# Fermi-level density of states ... 8.04 states/eV/cell
# ΔE_f (raw) ... 943 meV/atom
data_Cr3PBr
_chemical_formula_sum 'Cr3 P1 Br1'
_symmetry_space_group_name_H-M 'P m -3 m'
_symmetry_Int_Tables_number 221
_symmetry_space_group_name_Hall '-P 4 2 3'
_cell_length_a 4.312
_cell_length_b 4.312
_cell_length_c 4.312
_cell_angle_alpha 90.00
_cell_angle_beta 90.00
_cell_angle_gamma 90.00
loop_
_atom_site_label
_atom_site_fract_x
_atom_site_fract_y
_atom_site_fract_z
Cr1 0.000 0.000 0.500
P1 0.000 0.000 0.000
Br1 0.500 0.500 0.500

# ZnCdO2 (PBE-GGA, relaxed)
# Total DFT energy (no corrections) ... -65.2 eV for the cell shown
# Fermi-level density of states ... 0.92 states/eV/cell
# ΔE_f (raw) ... -1048 meV/atom
data_ZnCdO2
_chemical_formula_sum 'Zn4 Cd4 O8'
_symmetry_space_group_name_H-M 'P n m a'
_symmetry_Int_Tables_number 62
_symmetry_space_group_name_Hall '-P 2ac 2n'
_cell_length_a 5.821
_cell_length_b 3.141
_cell_length_c 11.510
_cell_angle_alpha 90.00
_cell_angle_beta 90.00
_cell_angle_gamma 90.00
loop_
_atom_site_label
_atom_site_fract_x
_atom_site_fract_y
_atom_site_fract_z
Zn1 0.067 0.250 0.104
Cd1 0.087 0.750 0.375
O1 0.042 0.250 0.803
O2 0.248 0.250 0.508

# LaIrBr (PBE-GGA, relaxed)
# ΔE to the lowest computed polymorph ... 0.970 eV/atom
# Total DFT energy (no corrections) ... -66.3 eV for the cell shown
# Fermi-level density of states ... 13.85 states/eV/cell
# ΔE_f (raw) ... -367 meV/atom
data_LaIrBr
_chemical_formula_sum 'La4 Ir4 Br4'
_symmetry_space_group_name_H-M 'F -4 3 m'
_symmetry_Int_Tables_number 216
_symmetry_space_group_name_Hall 'F -4 2 3'
_cell_length_a 6.806
_cell_length_b 6.806
_cell_length_c 6.806
_cell_angle_alpha 90.00
_cell_angle_beta 90.00
_cell_angle_gamma 90.00
loop_
_atom_site_label
_atom_site_fract_x
_atom_site_fract_y
_atom_site_fract_z
La1 0.000 0.000 0.000
Ir1 0.250 0.250 0.750
Br1 0.000 0.000 0.500

# Sc2RhC (PBE-GGA, relaxed)
# Total DFT energy (no corrections) ... -119.0 eV for the cell shown
# Fermi-level density of states ... 9.61 states/eV/cell
# Formation enthalpy at 0 K ... -0.1250 eV per atom
data_Sc2RhC
_chemical_formula_sum 'Sc8 Rh4 C4'
_symmetry_space_group_name_H-M 'I -4 2 d'
_symmetry_Int_Tables_number 122
_symmetry_space_group_name_Hall 'I -4 2bw'
_cell_length_a 6.520
_cell_length_b 6.520
_cell_length_c 6.160
_cell_angle_alpha 90.00
_cell_angle_beta 90.00
_cell_angle_gamma 90.00
loop_
_atom_site_label
_atom_site_fract_x
_atom_site_fract_y
_atom_site_fract_z
Sc1 0.189 0.250 0.125
Rh1 0.000 0.000 0.500
C1 0.000 0.000 0.000

# Fe2ReCl (PBE-GGA, relaxed)
# ΔE to the lowest computed polymorph ... 0.209 eV/atom
# Total DFT energy (no corrections) ... -58.6 eV for the cell shown
# Fermi-level density of states ... 8.19 states/eV/cell
# ΔE_f (raw) ... 484 meV/atom
data_Fe2ReCl
_chemical_formula_sum 'Fe4 Re2 Cl2'
_symmetry_space_group_name_H-M 'C m m 2'
_symmetry_Int_Tables_number 35
_symmetry_space_group_name_Hall 'C 2 -2'
_cell_length_a 2.964
_cell_length_b 4.546
_cell_length_c 9.650
_cell_angle_alpha 90.00
_cell_angle_beta 90.00
_cell_angle_gamma 90.00
loop_
_atom_site_label
_atom_site_fract_x
_atom_site_fract_y
_atom_site_fract_z
Fe1 0.000 0.000 0.000
Fe2 0.000 0.500 0.207
Re1 0.000 0.000 0.416
Cl1 0.000 0.500 0.811

# Sr5PmCd6 (PBE-GGA, relaxed)
# Total DFT energy (no corrections) ... -45.1 eV for the cell shown
# Fermi-level density of states ... 16.71 states/eV/cell
# Formation enthalpy at 0 K ... -0.3236 eV per atom
data_Sr5PmCd6
_chemical_formula_sum 'Sr10 Pm2 Cd12'
_symmetry_space_group_name_H-M 'C m m m'
_symmetry_Int_Tables_number 65
_symmetry_space_group_name_Hall '-C 2 2'
_cell_length_a 5.669
_cell_length_b 17.005
_cell_length_c 8.056
_cell_angle_alpha 90.00
_cell_angle_beta 90.00
_cell_angle_gamma 90.00
loop_
_atom_site_label
_atom_site_fract_x
_atom_site_fract_y
_atom_site_fract_z
Sr1 0.000 0.000 0.000
Sr2 0.000 0.332 0.000
Sr3 0.000 0.332 0.500
Pm1 0.000 0.000 0.500
Cd1 0.000 0.161 0.259
Cd2 0.000 0.500 0.267

# LiEr6Rh5 (PBE-GGA, relaxed)
# Total DFT energy (no corrections) ... -151.4 eV for the cell shown
# Fermi-level density of states ... 11.79 states/eV/cell
# Formation enthalpy at 0 K ... -0.8047 eV per atom
data_LiEr6Rh5
_chemical_formula_sum 'Li2 Er12 Rh10'
_symmetry_space_group_name_H-M 'I m m m'
_symmetry_Int_Tables_number 71
_symmetry_space_group_name_Hall '-I 2 2'
_cell_length_a 4.804
_cell_length_b 6.859
_cell_length_c 14.512
_cell_angle_alpha 90.00
_cell_angle_beta 90.00
_cell_angle_gamma 90.00
loop_
_atom_site_label
_atom_site_fract_x
_atom_site_fract_y
_atom_site_fract_z
Li1 0.000 0.000 0.000
Er1 0.000 0.242 0.500
Er2 0.000 0.254 0.170
Rh1 0.000 0.000 0.333
Rh2 0.000 0.500 0.000
Rh3 0.000 0.500 0.337

# Rb2Mg (PBE-GGA, relaxed)
# ΔE to the lowest computed polymorph ... 0.081 eV/atom
# Total DFT energy (no corrections) ... -2.8 eV for the cell shown
# Fermi-level density of states ... 2.46 states/eV/cell
# Formation enthalpy at 0 K ... 0.2405 eV per atom
data_Rb2Mg
_chemical_formula_sum 'Rb2 Mg1'
_symmetry_space_group_name_H-M 'P -1'
_symmetry_Int_Tables_number 2
_symmetry_space_group_name_Hall '-P 1'
_cell_length_a 4.348
_cell_length_b 6.790
_cell_length_c 6.799
_cell_angle_alpha 60.06
_cell_angle_beta 89.86
_cell_angle_gamma 89.95
loop_
_atom_site_label
_atom_site_fract_x
_atom_site_fract_y
_atom_site_fract_z
Rb1 0.185 0.167 0.167
Mg1 0.500 0.500 0.500

# Hg3Pb2 (PBE-GGA, relaxed)
# ΔE to the lowest computed polymorph ... 0.028 eV/atom
# Total DFT energy (no corrections) ... -24.1 eV for the cell shown
# Fermi-level density of states ... 7.51 states/eV/cell
# Formation enthalpy at 0 K ... 0.0574 eV per atom
data_Hg3Pb2
_chemical_formula_sum 'Hg9 Pb6'
_symmetry_space_group_name_H-M 'R -3 m'
_symmetry_Int_Tables_number 166
_symmetry_space_group_name_Hall '-R 3 2"'
_cell_length_a 3.7613
_cell_length_b 3.7613
_cell_length_c 35.2518
_cell_angle_alpha 90.00
_cell_angle_beta 90.00
_cell_angle_gamma 120.00
loop_
_atom_site_label
_atom_site_fract_x
_atom_site_fract_y
_atom_site_fract_z
Hg1 0.0000 0.0000 0.0000
Hg2 0.0000 0.0000 0.1970
Pb1 0.0000 0.0000 0.4010

# CeSmAs2O8 (PBE-GGA, relaxed)
# Total DFT energy (no corrections) ... -174.2 eV for the cell shown
# Fermi-level density of states ... 10.93 states/eV/cell
# ΔE_f (raw) ... -2291 meV/atom
data_CeSmAs2O8
_chemical_formula_sum 'Ce2 Sm2 As4 O16'
_symmetry_space_group_name_H-M 'I -4'
_symmetry_Int_Tables_number 82
_symmetry_space_group_name_Hall 'I -4'
_cell_length_a 5.170
_cell_length_b 5.170
_cell_length_c 11.676
_cell_angle_alpha 90.00
_cell_angle_beta 90.00
_cell_angle_gamma 90.00
loop_
_atom_site_label
_atom_site_fract_x
_atom_site_fract_y
_atom_site_fract_z
Ce1 0.000 0.000 0.000
Sm1 0.000 0.500 0.750
As1 0.000 0.000 0.500
As2 0.000 0.500 0.250
O1 0.137 0.249 0.579
O2 0.143 0.748 0.173